H4AuI3N: relaxed, PBE.

```
H4AuI3N
1.0
-3.422 -4.926 0.882
9.632 2.013 -4.384
3.402 -6.798 9.678
I H Au N
6 8 2 2
Cartesian
3.494 -7.211 6.004 I
7.785 -5.793 5.014 I
1.999 -3.916 4.877 I
6.178 -2.858 0.479 I
9.311 -9.077 6.149 I
1.853 -3.586 0.817 I
3.435 -0.295 -1.064 H
5.165 -4.513 2.187 H
4.082 -4.791 3.478 H
5.642 -5.470 3.504 H
2.720 -1.828 -0.871 H
5.625 -7.618 7.533 H
7.181 -8.311 7.504 H
4.460 -6.044 2.415 H
8.756 -7.958 3.761 Au
0.938 -1.808 2.462 Au
3.035 -1.114 -1.564 N
4.840 -5.205 2.897 N
```

## Properties
Energy relative to the lowest polymorph listed for this composition: 0.00 eV per formula unit
Crystal system: triclinic
Size of the total moment: 0.000 μB/atom

Rb2MgZnCl6: relaxed, PBE.

```
Rb2MgZnCl6
1.0
7.403 0.000 0.000
0.000 7.403 0.000
3.702 3.702 4.547
Cl Rb Mg Zn
6 2 1 1
Cartesian
1.887 1.887 0.000 Cl
5.516 1.887 0.000 Cl
3.702 3.702 2.346 Cl
1.887 5.516 0.000 Cl
7.403 7.403 2.201 Cl
5.516 5.516 0.000 Cl
7.403 3.702 2.273 Rb
3.702 7.403 2.273 Rb
3.702 3.702 0.000 Mg
0.000 0.000 0.000 Zn
```

## Properties
DOS(E_F): 0.00 states/eV/f.u.
Energy relative to the lowest polymorph listed for this composition: 0.63 eV per formula unit
Crystal system: tetragonal
Size of the total moment: 0.000 μB/atom
E_form (uncorrected): -1557 kJ/mol of formula units

YSnSb2: relaxed, PBE.

```
YSnSb2
1.0
-4.161 -0.398 0.953
-1.198 -2.141 3.516
-1.478 5.628 5.537
Sb Y Sn
2 1 1
Cartesian
-1.709 0.782 2.507 Sb
-5.129 2.308 7.499 Sb
-3.419 1.545 5.003 Y
0.000 0.000 0.000 Sn
```

## Properties
DOS(E_F): 2.84 states/eV/f.u.
Crystal system: trigonal
Size of the total moment: 0.000 μB/atom
E_form (uncorrected): -165 kJ/mol of formula units

KVNi2: relaxed, PBE.

```
KVNi2
1.0
3.887 -2.044 -1.216
0.782 -4.320 1.221
-0.047 -3.300 -3.142
Ni K V
2 1 1
Cartesian
1.155 -2.416 -0.784 Ni
3.466 -7.248 -2.353 Ni
0.000 0.000 0.000 K
2.311 -4.832 -1.569 V
```

## Properties
Formation energy from the elements: 1.0791 eV per atom
DOS(E_F): 6.22 states/eV/f.u.
Energy relative to the lowest polymorph listed for this composition: 0.31 eV per formula unit
Crystal system: cubic
Size of the total moment: 0.448 μB/atom

Np2AgIr: relaxed, PBE.

```
Np2AgIr
1.0
3.210 0.000 0.000
0.000 3.210 0.000
0.000 0.000 8.367
Np Ir Ag
2 1 1
Cartesian
0.000 0.000 6.519 Np
0.000 0.000 1.848 Np
1.605 1.605 0.000 Ir
1.605 1.605 4.184 Ag
```

## Properties
Formation energy from the elements: 0.0624 eV per atom
DOS(E_F): 10.82 states/eV/f.u.
Crystal system: tetragonal
Size of the total moment: 2.136 μB/atom

Ta2AlPb: relaxed, PBE.

```
Ta2AlPb
1.0
-1.446 -2.935 3.198
-0.610 -2.029 -2.138
5.043 -2.709 -0.207
Ta Al Pb
2 1 1
Cartesian
2.080 -2.359 -1.225 Ta
-0.473 -2.039 -2.085 Ta
0.385 -2.652 1.013 Al
2.602 -5.021 -0.159 Pb
```

## Properties
Formation energy from the elements: 0.2749 eV per atom
DOS(E_F): 1.65 states/eV/f.u.
Crystal system: monoclinic
Size of the total moment: 0.000 μB/atom

LiAsNO2: relaxed, PBE.

```
LiAsNO2
1.0
-0.517 -0.441 -3.483
1.120 -3.358 0.259
-3.744 -1.194 0.707
O N Li As
2 1 1 1
Cartesian
-0.259 -0.221 -1.742 O
0.560 -1.679 0.129 O
-1.872 -0.597 0.354 N
0.000 0.000 0.000 Li
-1.571 -2.496 -1.259 As
```

## Properties
DOS(E_F): 2.35 states/eV/f.u.
Crystal system: tetragonal
Size of the total moment: 0.600 μB/atom
E_form (uncorrected): 328 kJ/mol of formula units

BaNa2Si2: relaxed, PBE.

```
BaNa2Si2
1.0
8.925 0.000 0.000
0.000 8.925 0.000
0.000 0.000 3.189
Ba Na Si
2 4 4
Cartesian
4.462 4.462 0.000 Ba
0.000 0.000 0.000 Ba
5.496 1.033 0.000 Na
3.429 7.891 0.000 Na
7.891 5.496 0.000 Na
1.033 3.429 0.000 Na
6.076 7.312 1.594 Si
7.312 2.849 1.594 Si
2.849 1.613 1.594 Si
1.613 6.076 1.594 Si
```

## Properties
DOS(E_F): 2.19 states/eV/f.u.
Energy relative to the lowest polymorph listed for this composition: 1.48 eV per formula unit
Crystal system: tetragonal
Size of the total moment: 0.000 μB/atom
E_form (uncorrected): 70 kJ/mol of formula units

Number 1: density 3.92 g/cm³, E -3.643 eV/atom. Number 2: density 3.15 g/cm³, E -3.202 eV/atom. Number 3: density 6.16 g/cm³, E -5.107 eV/atom. Number 4: density 5.15 g/cm³, E -4.366 eV/atom. Number 5: density 14.91 g/cm³, E -9.336 eV/atom. Number 6: density 12.73 g/cm³, E -7.514 eV/atom. Number 7: density 4.22 g/cm³, E -4.280 eV/atom. Number 8: density 3.13 g/cm³, E -2.936 eV/atom.